Record 1
# Li2ScAg

A geometry-optimized Li2ScAg structure (PBE-GGA, the Alexandria database).

The structure in POSCAR format:
```
Li2ScAg
1.0
2.8797 -5.0725 0.0000
2.8797 5.0725 0.0000
-1.4300 0.0000 2.6593
Li Sc Ag
2 1 1
Direct
0.0000 0.5000 0.0000 Li
0.5000 0.0000 0.0000 Li
0.0000 0.0000 0.5000 Sc
0.5000 0.5000 0.5000 Ag
```

Output
ΔE to the lowest computed polymorph: 98 meV per atom
E_form: 0.110 eV/f.u.
space-group type: C2/m


Record 2
# LiSc2Ag2

A geometry-optimized LiSc2Ag2 structure (PBE-GGA, the Alexandria database).

The structure in POSCAR format:
```
LiSc2Ag2
1.0
8.1398 0.0000 0.0000
0.0000 8.1398 0.0000
0.0000 0.0000 3.1976
Li Sc Ag
2 4 4
Direct
0.0000 0.0000 0.0000 Li
0.5000 0.5000 0.0000 Li
0.1490 0.3510 0.0000 Sc
0.3510 0.8510 0.0000 Sc
0.6490 0.1490 0.0000 Sc
0.8510 0.6490 0.0000 Sc
0.1456 0.6456 0.5000 Ag
0.3544 0.1456 0.5000 Ag
0.6456 0.8544 0.5000 Ag
0.8544 0.3544 0.5000 Ag
```

Output
ΔE to the lowest computed polymorph: 78 meV per atom
E_form: -0.293 eV/f.u.
space-group type: P4/mbm


Record 3
# Li2ScAg

A geometry-optimized Li2ScAg structure (PBE-GGA, the Alexandria database).

The structure in POSCAR format:
```
Li2ScAg
1.0
1.5578 0.8994 9.5747
-1.5578 0.8994 9.5747
0.0000 -1.7987 9.5747
Li Sc Ag
2 1 1
Direct
0.0000 0.0000 0.0000 Li
0.2480 0.2480 0.2480 Li
0.4901 0.4901 0.4901 Sc
0.7408 0.7408 0.7408 Ag
```

Output
ΔE to the lowest computed polymorph: 88 meV per atom
E_form: 0.068 eV/f.u.
space-group type: R3m


Record 4
# LiSc2Ag2

A geometry-optimized LiSc2Ag2 structure (PBE-GGA, the Alexandria database).

The structure in POSCAR format:
```
LiSc2Ag2
1.0
7.8224 0.0000 0.0000
0.0000 7.8224 0.0000
0.0000 0.0000 3.4429
Li Sc Ag
2 4 4
Direct
0.0000 0.0000 0.0000 Li
0.5000 0.5000 0.0000 Li
0.1607 0.3393 0.5000 Sc
0.3393 0.8393 0.5000 Sc
0.6607 0.1607 0.5000 Sc
0.8393 0.6607 0.5000 Sc
0.1354 0.6354 0.0000 Ag
0.3646 0.1354 0.0000 Ag
0.6354 0.8646 0.0000 Ag
0.8646 0.3646 0.0000 Ag
```

Output
ΔE to the lowest computed polymorph: 0 meV per atom
E_form: -0.681 eV/f.u.
space-group type: P4/mbm


Record 5
# LiSc3Ag4

A geometry-optimized LiSc3Ag4 structure (PBE-GGA, the Alexandria database).

The structure in POSCAR format:
```
LiSc3Ag4
1.0
3.3778 0.0000 0.0000
0.0000 3.3778 0.0000
0.0000 0.0000 13.5037
Li Sc Ag
1 3 4
Direct
0.0000 0.0000 0.0000 Li
0.0000 0.0000 0.2397 Sc
0.0000 0.0000 0.5000 Sc
0.0000 0.0000 0.7603 Sc
0.5000 0.5000 0.1104 Ag
0.5000 0.5000 0.3706 Ag
0.5000 0.5000 0.6294 Ag
0.5000 0.5000 0.8896 Ag
```

Output
E_form: -2.010 eV/f.u.
space-group type: P4/mmm


Record 6
# Li3ScAg2

A geometry-optimized Li3ScAg2 structure (PBE-GGA, the Alexandria database).

The structure in POSCAR format:
```
Li3ScAg2
1.0
7.6107 -1.9646 0.0000
7.6107 1.9646 0.0000
-4.8707 0.0000 7.1494
Li Sc Ag
6 2 4
Direct
0.0847 0.0847 0.4725 Li
0.2454 0.2454 0.8766 Li
0.4123 0.4123 0.2810 Li
0.5877 0.5877 0.7190 Li
0.7546 0.7546 0.1234 Li
0.9153 0.9153 0.5275 Li
0.4070 0.4070 0.7851 Sc
0.5930 0.5930 0.2149 Sc
0.0835 0.0835 0.9513 Ag
0.2617 0.2617 0.3768 Ag
0.7383 0.7383 0.6232 Ag
0.9165 0.9165 0.0487 Ag
```

Output
E_form: -0.892 eV/f.u.
space-group type: C2/m


Record 7
# Li3ScAg7

A geometry-optimized Li3ScAg7 structure (PBE-GGA, the Alexandria database).

The structure in POSCAR format:
```
Li3ScAg7
1.0
4.1381 -4.8125 0.0000
4.1381 4.8125 0.0000
-2.0282 0.0000 5.1243
Li Sc Ag
3 1 7
Direct
0.0000 0.0000 0.0000 Li
0.2313 0.7687 0.5000 Li
0.7687 0.2313 0.5000 Li
0.5000 0.5000 0.0000 Sc
0.0534 0.5866 0.8077 Ag
0.1799 0.1799 0.5498 Ag
0.4134 0.9466 0.1923 Ag
0.5000 0.5000 0.5000 Ag
0.5866 0.0534 0.8077 Ag
0.8201 0.8201 0.4502 Ag
0.9466 0.4134 0.1923 Ag
```

Output
E_form: -0.173 eV/f.u.
space-group type: C2/m


Record 8
# Li5ScAg6

A geometry-optimized Li5ScAg6 structure (PBE-GGA, the Alexandria database).

The structure in POSCAR format:
```
Li5ScAg6
1.0
7.2070 -3.1669 0.0000
7.2070 3.1669 0.0000
-1.3890 0.0000 4.4275
Li Sc Ag
5 1 6
Direct
0.0000 0.0000 0.0000 Li
0.1669 0.1669 0.6674 Li
0.3385 0.3385 0.3408 Li
0.6615 0.6615 0.6592 Li
0.8331 0.8331 0.3326 Li
0.5000 0.5000 0.0000 Sc
0.0709 0.5847 0.8284 Ag
0.2342 0.7658 0.5000 Ag
0.4153 0.9291 0.1716 Ag
0.5847 0.0709 0.8284 Ag
0.7658 0.2342 0.5000 Ag
0.9291 0.4153 0.1716 Ag
```

Output
E_form: -2.426 eV/f.u.
space-group type: C2/m


Record 9
# LiScAg

A geometry-optimized LiScAg structure (PBE-GGA, the Alexandria database).

The structure in POSCAR format:
```
LiScAg
1.0
-1.6238 1.6238 11.3878
1.6238 -1.6238 11.3878
1.6238 1.6238 -11.3878
Li Sc Ag
2 2 2
Direct
0.2142 0.2142 0.0000 Li
0.7858 0.7858 0.0000 Li
0.0697 0.0697 0.0000 Sc
0.9303 0.9303 0.0000 Sc
0.3514 0.3514 0.0000 Ag
0.6486 0.6486 0.0000 Ag
```

Output
ΔE to the lowest computed polymorph: 164 meV per atom
E_form: -0.037 eV/f.u.
space-group type: I4/mmm


Record 10
# Li12ScAg6

A geometry-optimized Li12ScAg6 structure (PBE-GGA, the Alexandria database).

The structure in POSCAR format:
```
Li12ScAg6
1.0
4.9154 2.8379 4.2024
-4.9154 2.8379 4.2024
0.0000 -5.6758 4.2024
Li Sc Ag
12 1 6
Direct
0.0201 0.9086 0.3121 Li
0.0914 0.6879 0.9799 Li
0.1059 0.4556 0.3434 Li
0.3121 0.0201 0.9086 Li
0.3434 0.1059 0.4556 Li
0.4556 0.3434 0.1059 Li
0.5444 0.6566 0.8941 Li
0.6566 0.8941 0.5444 Li
0.6879 0.9799 0.0914 Li
0.8941 0.5444 0.6566 Li
0.9086 0.3121 0.0201 Li
0.9799 0.0914 0.6879 Li
0.5000 0.5000 0.5000 Sc
0.2223 0.7699 0.6230 Ag
0.2301 0.3770 0.7777 Ag
0.3770 0.7777 0.2301 Ag
0.6230 0.2223 0.7699 Ag
0.7699 0.6230 0.2223 Ag
0.7777 0.2301 0.3770 Ag
```

Output
E_form: -2.054 eV/f.u.
space-group type: R-3


Record 11
# Li2ScAg

A geometry-optimized Li2ScAg structure (PBE-GGA, the Alexandria database).

The structure in POSCAR format:
```
Li2ScAg
1.0
3.3277 0.0000 0.0000
0.0000 3.4297 0.0000
-0.0123 0.0000 6.7313
Li Sc Ag
2 1 1
Direct
0.0000 0.0000 0.0000 Li
0.4994 0.5000 0.7784 Li
0.0003 0.0000 0.4628 Sc
0.4999 0.5000 0.2170 Ag
```

Output
ΔE to the lowest computed polymorph: 0 meV per atom
E_form: -0.283 eV/f.u.
space-group type: Pm


Record 12
# Li2ScAg

A geometry-optimized Li2ScAg structure (PBE-GGA, the Alexandria database).

The structure in POSCAR format:
```
Li2ScAg
1.0
0.0000 3.3381 3.3381
3.3381 0.0000 3.3381
3.3381 3.3381 0.0000
Li Sc Ag
2 1 1
Direct
0.0000 0.0000 0.0000 Li
0.2500 0.2500 0.2500 Li
0.5000 0.5000 0.5000 Sc
0.7500 0.7500 0.7500 Ag
```

Output
ΔE to the lowest computed polymorph: 35 meV per atom
E_form: -0.142 eV/f.u.
space-group type: F-43m


| no. | volume (Å³/cell) | total magnetic moment (Bohr magnetons per cell) |
| --- | --- | --- |
| 1 | 78 | 0.00 |
| 2 | 212 | 0.00 |
| 3 | 80 | 0.00 |
| 4 | 211 | 0.00 |
| 5 | 154 | 0.00 |
| 6 | 214 | 0.00 |
| 7 | 204 | 0.00 |
| 8 | 202 | 0.00 |
| 9 | 120 | 0.00 |
| 10 | 352 | 0.00 |
| 11 | 77 | 0.00 |
| 12 | 74 | 0.01 |